The following is a DFT calculation (PBE) of a relaxed structure of CeScCdIr.

abc: 4.977 4.977 4.977
angles: 60.00 60.00 60.00
Site moments in Bohr magnetons follow the coordinates.
Fractional coordinates of all 4 atoms:
Sc  0.500  0.500  0.500  0.06
Cd  0.750  0.750  0.750  0.01
Ir  0.250  0.250  0.250  -0.02
Ce  0.000  0.000  0.000  0.57

Output
calculated volume = 87.2 Å³/f.u.
energy of formation from the pure elements = -38.1 kJ per mole of atoms
total magnetization = 0.7 Bohr magnetons per cell
uncorrected energy = -5.905 eV per atom

=====

The following is a DFT calculation (PBE) of a relaxed structure of Mg2BeNi.

abc: 2.936 2.936 6.873
angles: 90.00 90.00 90.00
Fractional coordinates of all 4 atoms:
Be  0.500  0.500  0.683
Mg  0.500  0.500  0.305
Mg  0.000  0.000  0.950
Ni  0.000  0.000  0.562

Output
calculated volume = 59.2 Å³/f.u.
energy of formation from the pure elements = -9.2 kJ per mole of atoms
total magnetization = 0.0 Bohr magnetons per cell
uncorrected energy = -3.269 eV per atom